A plane-wave DFT calculation with PBEsol was carried out for crystalline Re3BS at its relaxed geometry.

Properties
E_form (uncorrected) ... 1.92 eV per atom
Space-group type ... No. 221
M_tot ... 0.0 μB per formula unit

```
data_Re3BS
_cell_length_a 4.2625
_cell_length_b 4.2625
_cell_length_c 4.2625
_cell_angle_alpha 90.00
_cell_angle_beta 90.00
_cell_angle_gamma 90.00
_space_group_name_H-M_alt 'P 1'
_space_group_IT_number 1
loop_
_space_group_symop_operation_xyz
'x,y,z'
loop_
_atom_site_label
_atom_site_type_symbol
_atom_site_fract_x
_atom_site_fract_y
_atom_site_fract_z
Re1 Re 0.0000 0.0000 0.5000
Re2 Re 0.0000 0.5000 0.0000
Re3 Re 0.5000 0.0000 0.0000
B1 B 0.5000 0.5000 0.5000
S1 S 0.0000 0.0000 0.0000
```